VASP calculation (PBE) on BaPmAs2Pt2 after structural relaxation.

Output
size of the total moment = 0.0 Bohr magnetons per cell
DFT total energy = -34.83 eV per cell

Cell lengths 4.3581, 4.3581, 8.8268 Å; angles 90.00, 90.00, 120.00 degrees
Space group P-3m1 (No. 164)
Symmetry-distinct sites (fractional):
Ba  0.0000  0.0000  0.0000 (multiplicity 1)
Pm  0.0000  0.0000  0.5000 (multiplicity 1)
As  0.3333  0.6667  0.2713 (multiplicity 2)
Pt  0.3333  0.6667  0.7195 (multiplicity 2)